No. 1
Density functional theory data (PBE) for a relaxed structure of HfCuNi5.

abc: 3.7186 3.7186 6.6487
angles: 90.00 90.00 90.00
Last column: magnetic moment on the atom in μB.
Fractional coordinates of all 7 atoms:
Hf  0.0000  0.0000  0.5000  -0.08
Cu  0.5000  0.5000  0.0000  0.09
Ni  0.0000  0.5000  0.7769  0.32
Ni  0.0000  0.5000  0.2231  0.32
Ni  0.5000  0.0000  0.7769  0.32
Ni  0.5000  0.0000  0.2231  0.32
Ni  0.5000  0.5000  0.5000  0.24

Summary:
DFT total energy   -6.19 eV/atom
ΔH_f (0 K)   -0.058 eV/atom
Crystal system   tetragonal
Space group   No. 123
DOS(E_F)   9.5 states/eV/cell

***

No. 2
Density functional theory data (PBE) for a relaxed structure of AcDy2HoHg4.

abc: 5.3022 5.3022 9.6357
angles: 74.03 74.03 60.00
Fractional coordinates of all 8 atoms:
Ac  0.0000  0.0000  0.0000
Dy  0.7552  0.7552  0.7345
Dy  0.2448  0.2448  0.2655
Ho  0.5000  0.5000  0.5000
Hg  0.3857  0.3857  0.8429
Hg  0.8714  0.8714  0.3858
Hg  0.1286  0.1286  0.6142
Hg  0.6143  0.6143  0.1571

Summary:
DFT total energy   -2.83 eV/atom
ΔH_f (0 K)   -0.447 eV/atom
Crystal system   trigonal
Space group   No. 166
DOS(E_F)   7.8 states/eV/cell